DFT (GGA-PBE) results for RbNa2SiS4 after structural relaxation.

POSCAR file:
```
RbNa2SiS4
1.0
7.1315 0.0000 0.0000
0.0000 7.1315 0.0000
0.0000 0.0000 8.6499
Rb Na Si S
2 4 2 8
Direct
0.0000 0.0000 0.0000
0.5000 0.5000 0.5000
0.0000 0.5000 0.2500
0.0000 0.5000 0.7500
0.5000 0.0000 0.2500
0.5000 0.0000 0.7500
0.0000 0.0000 0.5000
0.5000 0.5000 0.0000
0.1746 0.1746 0.6387
0.1746 0.8254 0.3613
0.3254 0.3254 0.1387
0.3254 0.6746 0.8613
0.6746 0.3254 0.8613
0.6746 0.6746 0.1387
0.8254 0.1746 0.3613
0.8254 0.8254 0.6387
```

Properties
SG: I-42m, No. 121
Fermi-level density of states in states/eV per atom: 0.980


DFT (GGA-PBE) results for Rb2NaSiS4 after structural relaxation.

POSCAR file:
```
Rb2NaSiS4
1.0
8.0161 0.0000 0.0000
0.0000 8.0161 0.0000
0.0000 0.0000 7.2352
Rb Na Si S
4 2 2 8
Direct
0.0000 0.5000 0.0000
0.0000 0.5000 0.5000
0.5000 0.0000 0.0000
0.5000 0.0000 0.5000
0.0000 0.0000 0.0000
0.5000 0.5000 0.5000
0.0000 0.0000 0.5000
0.5000 0.5000 0.0000
0.1480 0.1480 0.3154
0.1480 0.8520 0.6846
0.3520 0.3520 0.8154
0.3520 0.6480 0.1846
0.6480 0.3520 0.1846
0.6480 0.6480 0.8154
0.8520 0.1480 0.6846
0.8520 0.8520 0.3154
```

Properties
SG: I-42m, No. 121
Fermi-level density of states in states/eV per atom: 0.950


Total magnetization (computed, μB per atom): 0.13, 0.14
E_form (uncorrected) (computed, kJ/mol of formula units): -708, -706